1.
First-principles (PBE) data for a relaxed LiNb8O14 crystal, as listed in Alexandria.

Cell lengths 5.9878, 9.3311, 10.4122 Å; angles 90.00, 90.00, 90.00 degrees
Last column: nearest neighbours and their distance in Å.
Element x y z (fractional)
Li (0.5000, 0.0000, 0.5000)  12 O 2.74-2.99
Li (0.5000, 0.5000, 0.0000)  12 O 2.74-2.99
Nb (0.0000, 0.1106, 0.6625)  6 O 1.98-2.08
Nb (0.5000, 0.1208, 0.1658)  5 O 2.09-2.19
Nb (0.2641, 0.1293, 0.9238)  5 O 2.03-2.17
Nb (0.7359, 0.1293, 0.9238)  5 O 2.03-2.17
Nb (0.2641, 0.3707, 0.4238)  5 O 2.03-2.17
Nb (0.7359, 0.3707, 0.4238)  5 O 2.03-2.17
Nb (0.5000, 0.3792, 0.6658)  5 O 2.09-2.19
Nb (0.0000, 0.3894, 0.1625)  6 O 1.98-2.08
Nb (0.0000, 0.6106, 0.8375)  6 O 1.98-2.08
Nb (0.5000, 0.6208, 0.3342)  5 O 2.09-2.19
Nb (0.2641, 0.6293, 0.5762)  5 O 2.03-2.17
Nb (0.7359, 0.6293, 0.5762)  5 O 2.03-2.17
Nb (0.2641, 0.8707, 0.0762)  5 O 2.03-2.17
Nb (0.7359, 0.8707, 0.0762)  5 O 2.03-2.17
Nb (0.5000, 0.8792, 0.8342)  5 O 2.09-2.19
Nb (0.0000, 0.8894, 0.3375)  6 O 1.98-2.08
O (0.0000, 0.0000, 0.0000)  4 Nb 2.14
O (0.0000, 0.0000, 0.5000)  2 Nb 1.98
O (0.2512, 0.0041, 0.7489)  3 Nb 2.02-2.17
O (0.7488, 0.0041, 0.7489)  3 Nb 2.02-2.17
O (0.0000, 0.2363, 0.8217)  3 Nb 2.03-2.15
O (0.5000, 0.2393, 0.3471)  3 Nb 2.03-2.19
O (0.2497, 0.2429, 0.5889)  3 Nb 2.08-2.12
O (0.7503, 0.2429, 0.5889)  3 Nb 2.08-2.12
O (0.2497, 0.2571, 0.0889)  3 Nb 2.08-2.12
O (0.7503, 0.2571, 0.0889)  3 Nb 2.08-2.12
O (0.5000, 0.2607, 0.8471)  3 Nb 2.03-2.19
O (0.0000, 0.2637, 0.3217)  3 Nb 2.03-2.15
O (0.7488, 0.4959, 0.2489)  3 Nb 2.02-2.17
O (0.2512, 0.4959, 0.2489)  3 Nb 2.02-2.17
O (0.0000, 0.5000, 0.5000)  4 Nb 2.14
O (0.0000, 0.5000, 0.0000)  2 Nb 1.98
O (0.2512, 0.5041, 0.7511)  3 Nb 2.02-2.17
O (0.7488, 0.5041, 0.7511)  3 Nb 2.02-2.17
O (0.0000, 0.7363, 0.6783)  3 Nb 2.03-2.15
O (0.5000, 0.7393, 0.1529)  3 Nb 2.03-2.19
O (0.2497, 0.7429, 0.9111)  3 Nb 2.08-2.12
O (0.7503, 0.7429, 0.9111)  3 Nb 2.08-2.12
O (0.2497, 0.7571, 0.4111)  3 Nb 2.08-2.12
O (0.7503, 0.7571, 0.4111)  3 Nb 2.08-2.12
O (0.5000, 0.7607, 0.6529)  3 Nb 2.03-2.19
O (0.0000, 0.7637, 0.1783)  3 Nb 2.03-2.15
O (0.2512, 0.9959, 0.2511)  3 Nb 2.02-2.17
O (0.7488, 0.9959, 0.2511)  3 Nb 2.02-2.17

Results
Raw formation energy = -2.31 eV/atom
Space-group type = Pbam
Calculated volume = 12.65 A^3/atom

2.
First-principles (PBE) data for a relaxed ZnCd2Rh crystal, as listed in Alexandria.

Cell lengths 4.8293, 4.8293, 3.1363 Å; angles 90.00, 90.00, 107.49 degrees
Last column: nearest neighbours and their distance in Å.
Element x y z (fractional)
Cd (0.0000, 0.0000, 0.0000)  4 Cd 2.86-3.14, 4 Rh 2.88, 4 Zn 2.88
Cd (0.5000, 0.5000, 0.0000)  4 Cd 2.86-3.14, 4 Zn 2.88, 4 Rh 2.88
Rh (0.5000, 0.0000, 0.5000)  2 Zn 2.86, 8 Cd 2.88, 2 Rh 3.14
Zn (0.0000, 0.5000, 0.5000)  2 Rh 2.86, 8 Cd 2.88, 2 Zn 3.14

Results
Space-group type = Cmmm
ΔE_f = -0.3 eV/f.u.
Calculated volume = 17.44 A^3/atom

3.
First-principles (PBE) data for a relaxed CaSiIr crystal, as listed in Alexandria.

Cell lengths 4.4225, 4.4225, 4.4225 Å; angles 60.00, 60.00, 60.00 degrees
Last column: nearest neighbours and their distance in Å.
Element x y z (fractional)
Ca (0.5000, 0.5000, 0.5000)  4 Ir 2.71
Ir (0.2500, 0.2500, 0.2500)  4 Ca 2.71, 4 Si 2.71
Si (0.0000, 0.0000, 0.0000)  4 Ir 2.71

Results
Raw formation energy = -0.19 eV/atom
Space-group type = F-43m
Calculated volume = 20.39 A^3/atom

4.
First-principles (PBE) data for a relaxed TeRhAuO6 crystal, as listed in Alexandria.

Cell lengths 5.2603, 5.2603, 9.4993 Å; angles 90.00, 90.00, 120.00 degrees
Last column: nearest neighbours and their distance in Å.
Element x y z (fractional)
Te (0.6667, 0.3333, 0.2500)  6 O 1.99
Te (0.3333, 0.6667, 0.7500)  6 O 1.99
Rh (0.3333, 0.6667, 0.2500)  6 O 2.01
Rh (0.6667, 0.3333, 0.7500)  6 O 2.01
Au (0.0000, 0.0000, 0.0000)  6 O 2.32
Au (0.0000, 0.0000, 0.5000)  6 O 2.32
O (0.6325, 0.6304, 0.1338)  1 Te 1.99, 1 Rh 2.01
O (0.9979, 0.3675, 0.1338)  1 Te 1.99, 1 Rh 2.01
O (0.3675, 0.9979, 0.6338)  1 Te 1.99, 1 Rh 2.01
O (0.0021, 0.6325, 0.8662)  1 Te 1.99, 1 Rh 2.01
O (0.3696, 0.3675, 0.3662)  1 Te 1.99, 1 Rh 2.01
O (0.9979, 0.6304, 0.3662)  1 Te 1.99, 1 Rh 2.01
O (0.6304, 0.9979, 0.8662)  1 Te 1.99, 1 Rh 2.01
O (0.6325, 0.0021, 0.3662)  1 Te 1.99, 1 Rh 2.01
O (0.0021, 0.3696, 0.6338)  1 Te 1.99, 1 Rh 2.01
O (0.3696, 0.0021, 0.1338)  1 Te 1.99, 1 Rh 2.01
O (0.6304, 0.6325, 0.6338)  1 Te 1.99, 1 Rh 2.01
O (0.3675, 0.3696, 0.8662)  1 Te 1.99, 1 Rh 2.01

Results
Raw formation energy = -0.55 eV/atom
Space-group type = P-31c
Calculated volume = 12.65 A^3/atom

5.
First-principles (PBE) data for a relaxed Pr4TlHg3 crystal, as listed in Alexandria.

Cell lengths 5.4791, 5.4792, 8.7334 Å; angles 108.39, 108.39, 89.81 degrees
Last column: nearest neighbours and their distance in Å.
Element x y z (fractional)
Pr (0.3735, 0.3734, 0.7469)  6 Hg 3.35-3.38, 2 Tl 3.38
Pr (0.6265, 0.6266, 0.2531)  6 Hg 3.35-3.38, 2 Tl 3.38
Pr (0.1266, 0.1265, 0.2531)  6 Hg 3.35-3.38, 2 Tl 3.38
Pr (0.8734, 0.8735, 0.7469)  6 Hg 3.35-3.38, 2 Tl 3.38
Tl (0.5000, 0.0000, 0.0000)  8 Pr 3.38
Hg (0.0000, 0.5000, 0.0000)  8 Pr 3.38
Hg (0.7501, 0.2501, 0.5003)  8 Pr 3.35
Hg (0.2499, 0.7499, 0.4997)  8 Pr 3.35

Results
Distance to the lowest polymorph of the same formula = 0 meV/atom
Space-group type = C2/m
ΔE_f = -3.6 eV/f.u.
Calculated volume = 29.34 A^3/atom

6.
First-principles (PBE) data for a relaxed Pr3Ga8Cu3 crystal, as listed in Alexandria.

Cell lengths 4.3578, 8.3474, 8.2799 Å; angles 71.00, 74.74, 74.87 degrees
Last column: nearest neighbours and their distance in Å.
Element x y z (fractional)
Pr (0.3078, 0.6843, 0.7000)  9 Ga 3.10-3.27, 5 Cu 3.18-3.41
Pr (0.6922, 0.3157, 0.3000)  9 Ga 3.10-3.27, 5 Cu 3.18-3.41
Pr (0.0000, 0.0000, 0.0000)  8 Ga 3.16-3.26, 4 Cu 3.28
Ga (0.1430, 0.1374, 0.5766)  5 Ga 2.70-2.86, 1 Cu 2.82
Ga (0.8570, 0.8626, 0.4234)  5 Ga 2.70-2.86, 1 Cu 2.82
Ga (0.8531, 0.4194, 0.8744)  3 Cu 2.52-2.65
Ga (0.1469, 0.5806, 0.1256)  3 Cu 2.52-2.65
Ga (0.5006, 0.7012, 0.2976)  1 Cu 2.50, 1 Ga 2.69
Ga (0.4994, 0.2988, 0.7024)  1 Cu 2.50, 1 Ga 2.69
Ga (0.3429, 0.0409, 0.2732)  1 Cu 2.50, 4 Ga 2.69-2.74
Ga (0.6571, 0.9591, 0.7268)  1 Cu 2.50, 4 Ga 2.69-2.74
Cu (0.0000, 0.5000, 0.5000)  8 Ga 2.82-2.92
Cu (0.6572, 0.7005, 0.9850)  5 Ga 2.50-2.65
Cu (0.3428, 0.2995, 0.0150)  5 Ga 2.50-2.65

Results
Distance to the lowest polymorph of the same formula = 18 meV/atom
Space-group type = C2/m
ΔE_f = -6.4 eV/f.u.
Calculated volume = 19.26 A^3/atom

7.
First-principles (PBE) data for a relaxed NaVCd crystal, as listed in Alexandria.

Cell lengths 5.8618, 8.1610, 2.9096 Å; angles 83.23, 98.59, 70.74 degrees
Last column: nearest neighbours and their distance in Å.
Element x y z (fractional)
Na (0.1914, 0.6164, 0.7092)  2 Na 2.91, 2 V 3.18-3.22, 2 Cd 3.20-3.21
Na (0.8086, 0.3836, 0.2908)  2 Na 2.91, 2 V 3.18-3.22, 2 Cd 3.20-3.21
Cd (0.3957, 0.2129, 0.4014)  3 Cd 2.91-3.23, 4 V 2.98-3.00, 2 Na 3.20-3.21
Cd (0.6043, 0.7871, 0.5986)  3 Cd 2.91-3.23, 4 V 2.98-3.00, 2 Na 3.20-3.21
V (0.8543, 0.9985, 0.1029)  1 V 1.90
V (0.1457, 0.0015, 0.8971)  1 V 1.90

Results
Distance to the lowest polymorph of the same formula = 150 meV/atom
Space-group type = P-1
ΔE_f = 0.9 eV/f.u.
Calculated volume = 21.30 A^3/atom

8.
First-principles (PBE) data for a relaxed Fe3AsIr crystal, as listed in Alexandria.

Cell lengths 4.3050, 4.3050, 4.3050 Å; angles 90.00, 90.00, 90.00 degrees
Last column: nearest neighbours and their distance in Å.
Element x y z (fractional)
As (0.0000, 0.0000, 0.0000)  6 Fe 2.15
Ir (0.5000, 0.5000, 0.5000)  12 Fe 3.04
Fe (0.0000, 0.5000, 0.0000)  2 As 2.15
Fe (0.0000, 0.0000, 0.5000)  2 As 2.15
Fe (0.5000, 0.0000, 0.0000)  2 As 2.15

Results
Distance to the lowest polymorph of the same formula = 0 meV/atom
Space-group type = Pm-3m
ΔE_f = 4.8 eV/f.u.
Calculated volume = 15.96 A^3/atom

9.
First-principles (PBE) data for a relaxed La2ScZn2 crystal, as listed in Alexandria.

Cell lengths 8.3632, 8.3632, 3.8365 Å; angles 90.00, 90.00, 90.00 degrees
Last column: nearest neighbours and their distance in Å.
Element x y z (fractional)
Sc (0.0000, 0.0000, 0.0000)  4 Zn 3.35, 8 La 3.62
Sc (0.5000, 0.5000, 0.0000)  4 Zn 3.35, 8 La 3.62
Zn (0.3830, 0.8830, 0.0000)  1 Zn 2.77, 2 La 3.08
Zn (0.8830, 0.6170, 0.0000)  1 Zn 2.77, 2 La 3.08
Zn (0.6170, 0.1170, 0.0000)  1 Zn 2.77, 2 La 3.08
Zn (0.1170, 0.3830, 0.0000)  1 Zn 2.77, 2 La 3.08
La (0.1793, 0.6793, 0.5000)  6 Zn 3.08-3.18
La (0.6793, 0.8207, 0.5000)  6 Zn 3.08-3.18
La (0.8207, 0.3207, 0.5000)  6 Zn 3.08-3.18
La (0.3207, 0.1793, 0.5000)  6 Zn 3.08-3.18

Results
Distance to the lowest polymorph of the same formula = 0 meV/atom
Space-group type = P4/mbm
ΔE_f = -0.8 eV/f.u.
Calculated volume = 26.83 A^3/atom

10.
First-principles (PBE) data for a relaxed SrSnSe2N crystal, as listed in Alexandria.

Cell lengths 5.7878, 5.7878, 4.7716 Å; angles 90.00, 90.00, 90.00 degrees
Last column: nearest neighbours and their distance in Å.
Element x y z (fractional)
Sr (0.0000, 0.0000, 0.0000)  2 N 2.39
Sn (0.5000, 0.5000, 0.5000)  8 Se 3.75, 4 N 4.09
Se (0.0000, 0.5000, 0.0000)  2 Sr 2.89
Se (0.5000, 0.0000, 0.0000)  2 Sr 2.89
N (0.0000, 0.0000, 0.5000)  2 Sr 2.39

Results
Distance to the lowest polymorph of the same formula = 801 meV/atom
Raw formation energy = 0.52 eV/atom
Space-group type = P4/mmm
Calculated volume = 31.97 A^3/atom

11.
First-principles (PBE) data for a relaxed In6BPd12 crystal, as listed in Alexandria.

Cell lengths 6.9786, 6.9786, 6.9786 Å; angles 96.35, 96.35, 96.35 degrees
Last column: nearest neighbours and their distance in Å.
Element x y z (fractional)
In (0.6402, 0.8547, 0.2592)  8 Pd 2.70-3.00
In (0.7408, 0.3598, 0.1453)  8 Pd 2.70-3.00
In (0.1453, 0.7408, 0.3598)  8 Pd 2.70-3.00
In (0.3598, 0.1453, 0.7408)  8 Pd 2.70-3.00
In (0.2592, 0.6402, 0.8547)  8 Pd 2.70-3.00
In (0.8547, 0.2592, 0.6402)  8 Pd 2.70-3.00
B (0.0000, 0.0000, 0.0000)  6 Pd 2.13
Pd (0.7966, 0.5938, 0.4863)  4 In 2.70-2.81, 3 Pd 2.76-2.84
Pd (0.4863, 0.7966, 0.5938)  4 In 2.70-2.81, 3 Pd 2.76-2.84
Pd (0.5938, 0.4863, 0.7966)  4 In 2.70-2.81, 3 Pd 2.76-2.84
Pd (0.2034, 0.4062, 0.5137)  4 In 2.70-2.81, 3 Pd 2.76-2.84
Pd (0.5137, 0.2034, 0.4062)  4 In 2.70-2.81, 3 Pd 2.76-2.84
Pd (0.4062, 0.5137, 0.2034)  4 In 2.70-2.81, 3 Pd 2.76-2.84
Pd (0.9922, 0.0777, 0.3033)  1 B 2.13
Pd (0.9223, 0.6967, 0.0078)  1 B 2.13
Pd (0.6967, 0.0078, 0.9223)  1 B 2.13
Pd (0.0078, 0.9223, 0.6967)  1 B 2.13
Pd (0.0777, 0.3033, 0.9922)  1 B 2.13
Pd (0.3033, 0.9922, 0.0777)  1 B 2.13

Results
Space-group type = R-3
ΔE_f = -6.7 eV/f.u.
Calculated volume = 17.53 A^3/atom

12.
First-principles (PBE) data for a relaxed B2IrPtC crystal, as listed in Alexandria.

Cell lengths 3.6967, 3.9900, 3.6967 Å; angles 90.00, 90.00, 90.00 degrees
Last column: nearest neighbours and their distance in Å.
Element x y z (fractional)
C (0.0000, 0.0000, 0.0000)  4 B 1.85, 2 Ir 1.99
Ir (0.0000, 0.5000, 0.0000)  2 C 1.99
B (0.0000, 0.0000, 0.5000)  2 C 1.85
B (0.5000, 0.0000, 0.0000)  2 C 1.85
Pt (0.5000, 0.5000, 0.5000)  4 Ir 2.61, 8 B 2.72

Results
Space-group type = P4/mmm
ΔE_f = 7.0 eV/f.u.
Calculated volume = 10.90 A^3/atom